No. 1
Material: Sc6Si2Sn
Method: DFT, GGA-PBE
State: relaxed

a b c (Å): 7.9347 7.9347 7.9347
angles (deg): 112.60 111.58 104.35
With the nearest neighbours (Å) after each atom.
Fractional coordinates of all 18 atoms:
Sc 0.0378 0.2444 0.7934  2 Si 2.75-2.93, 1 Sn 3.01
Sc 0.1872 0.2803 0.4674  3 Si 2.81-2.92, 1 Sn 2.98
Sc 0.1872 0.7197 0.9069  3 Si 2.81-2.92, 1 Sn 2.98
Sc 0.3224 0.0255 0.7031  3 Si 2.65-2.78
Sc 0.3224 0.6193 0.2969  3 Si 2.65-2.78
Sc 0.4509 0.2444 0.2066  2 Si 2.75-2.93, 1 Sn 3.01
Sc 0.5491 0.7556 0.7934  2 Si 2.75-2.93, 1 Sn 3.01
Sc 0.6776 0.3807 0.7031  3 Si 2.65-2.78
Sc 0.6776 0.9745 0.2969  3 Si 2.65-2.78
Sc 0.8128 0.2803 0.0931  3 Si 2.81-2.92, 1 Sn 2.98
Sc 0.8128 0.7197 0.5326  3 Si 2.81-2.92, 1 Sn 2.98
Sc 0.9622 0.7556 0.2066  2 Si 2.75-2.93, 1 Sn 3.01
Si 0.1207 0.6207 0.5000  1 Si 2.35
Si 0.3612 0.0000 0.3612  1 Si 2.48, 2 Sc 2.75
Si 0.6388 0.0000 0.6388  1 Si 2.48, 2 Sc 2.75
Si 0.8793 0.3793 0.5000  1 Si 2.35
Sn 0.0000 0.0000 0.0000  8 Sc 2.98-3.01, 2 Si 3.22
Sn 0.5000 0.5000 0.0000  12 Sc 3.10-3.40

Formation energy without anion corrections, eV/f.u.: -5.55
Space-group type: Immm, No. 71

***

No. 2
Material: V3Ir6Ru
Method: DFT, GGA-PBE
State: relaxed

a b c (Å): 7.2474 4.3470 9.4552
angles (deg): 90.00 109.28 90.00
With the nearest neighbours (Å) after each atom.
Fractional coordinates of all 20 atoms:
V 0.0887 0.2500 0.2335  8 Ir 2.63-2.77, 1 Ru 2.65, 3 V 2.74-2.82
V 0.3012 0.2500 0.0322  11 Ir 2.67-2.80, 1 V 2.82
V 0.3053 0.7500 0.3679  9 Ir 2.65-2.74, 2 V 2.74, 1 Ru 2.78
V 0.6947 0.2500 0.6321  9 Ir 2.65-2.74, 2 V 2.74, 1 Ru 2.78
V 0.6988 0.7500 0.9678  11 Ir 2.67-2.80, 1 V 2.82
V 0.9113 0.7500 0.7665  8 Ir 2.63-2.77, 1 Ru 2.65, 3 V 2.74-2.82
Ir 0.0953 0.2500 0.7320  4 V 2.63-2.74, 3 Ru 2.68-2.71, 5 Ir 2.71-2.77
Ir 0.1080 0.7500 0.0713  7 V 2.68-2.80, 5 Ir 2.68-2.76
Ir 0.2955 0.2500 0.5302  4 V 2.67-2.73, 3 Ru 2.68-2.69, 5 Ir 2.72-2.76
Ir 0.3006 0.7500 0.8679  4 V 2.66-2.72, 7 Ir 2.69-2.75, 1 Ru 2.74
Ir 0.4932 0.2500 0.3302  5 V 2.65-2.77, 6 Ir 2.67-2.75, 1 Ru 2.81
Ir 0.4994 0.7500 0.1671  8 Ir 2.67-2.77, 4 V 2.68-2.73
Ir 0.5006 0.2500 0.8329  8 Ir 2.67-2.77, 4 V 2.68-2.73
Ir 0.5068 0.7500 0.6698  5 V 2.65-2.77, 6 Ir 2.67-2.75, 1 Ru 2.81
Ir 0.6994 0.2500 0.1321  4 V 2.66-2.72, 7 Ir 2.69-2.75, 1 Ru 2.74
Ir 0.7045 0.7500 0.4698  4 V 2.67-2.73, 3 Ru 2.68-2.69, 5 Ir 2.72-2.76
Ir 0.8920 0.2500 0.9287  7 V 2.68-2.80, 5 Ir 2.68-2.76
Ir 0.9047 0.7500 0.2680  4 V 2.63-2.74, 3 Ru 2.68-2.71, 5 Ir 2.71-2.77
Ru 0.0966 0.7500 0.5668  2 V 2.65-2.78, 2 Ru 2.67, 8 Ir 2.68-2.81
Ru 0.9034 0.2500 0.4332  2 V 2.65-2.78, 2 Ru 2.67, 8 Ir 2.68-2.81

Space-group type: P2_1/m, No. 11
Formation enthalpy at 0 K, eV/atom: -0.43

***

No. 3
Material: Sr2BeZnPd6
Method: DFT, GGA-PBE
State: relaxed

a b c (Å): 6.5146 6.5146 6.5146
angles (deg): 60.00 60.00 60.00
With the nearest neighbours (Å) after each atom.
Fractional coordinates of all 10 atoms:
Sr 0.2500 0.2500 0.2500  12 Pd 3.26
Sr 0.7500 0.7500 0.7500  12 Pd 3.26
Be 0.0000 0.0000 0.0000  6 Pd 2.16
Zn 0.5000 0.5000 0.5000  6 Pd 2.45
Pd 0.2343 0.2343 0.7657  1 Be 2.16
Pd 0.2343 0.7657 0.2343  1 Be 2.16
Pd 0.2343 0.7657 0.7657  1 Be 2.16
Pd 0.7657 0.2343 0.2343  1 Be 2.16
Pd 0.7657 0.2343 0.7657  1 Be 2.16
Pd 0.7657 0.7657 0.2343  1 Be 2.16

Space-group type: Fm-3m, No. 225
Formation enthalpy at 0 K, eV/atom: -0.45

***

No. 4
Material: Rb6MgI8
Method: DFT, GGA-PBE
State: relaxed

a b c (Å): 9.4637 9.4637 9.4637
angles (deg): 69.79 69.79 69.79
With the nearest neighbours (Å) after each atom.
Fractional coordinates of all 15 atoms:
Rb 0.0181 0.8008 0.4416  6 I 3.68-3.87
Rb 0.1992 0.5584 0.9819  6 I 3.68-3.87
Rb 0.4416 0.0181 0.8008  6 I 3.68-3.87
Rb 0.5584 0.9819 0.1992  6 I 3.68-3.87
Rb 0.8008 0.4416 0.0181  6 I 3.68-3.87
Rb 0.9819 0.1992 0.5584  6 I 3.68-3.87
Mg 0.5000 0.5000 0.5000  6 I 3.01
I 0.1546 0.1546 0.1546  6 Rb 3.71-3.81
I 0.1968 0.4074 0.6515  1 Mg 3.01
I 0.3485 0.8032 0.5926  1 Mg 3.01
I 0.4074 0.6515 0.1968  1 Mg 3.01
I 0.5926 0.3485 0.8032  1 Mg 3.01
I 0.6515 0.1968 0.4074  1 Mg 3.01
I 0.8032 0.5926 0.3485  1 Mg 3.01
I 0.8454 0.8454 0.8454  6 Rb 3.71-3.81

Formation energy without anion corrections, eV/f.u.: -20.54
Space-group type: R-3, No. 148

***

| no. | final energy (eV/atom) |
| --- | --- |
| 1 | -6.487 |
| 2 | -9.412 |
| 3 | -4.401 |
| 4 | -2.689 |